# 1
BaSr3Ir, optimized geometry, DFT PBE-GGA; E_form = -0.8 eV/f.u.; crystal system = orthorhombic; Fermi-level density of states = 0.788 states/eV/atom
1.0
11.8299 0.0000 0.0000
0.0000 4.4858 0.0000
0.0000 0.0000 8.7990
Ba Sr Ir
2 6 2
direct
0.2500 0.0000 0.0173
0.7500 0.0000 0.9827
0.0047 0.5000 0.2548
0.2500 0.0000 0.4764
0.4953 0.5000 0.2548
0.5047 0.5000 0.7452
0.7500 0.0000 0.5236
0.9953 0.5000 0.7452
0.2500 0.5000 0.2529
0.7500 0.5000 0.7471



# 2
ZnFe2P, optimized geometry, DFT PBE-GGA; E_form = -0.1 eV/f.u.; crystal system = monoclinic; Fermi-level density of states = 0.697 states/eV/atom
1.0
4.7532 -1.4292 0.0000
4.7532 1.4292 0.0000
-1.5761 0.0000 3.5503
Zn Fe P
1 2 1
direct
0.0000 0.0000 0.0000
0.5434 0.5434 0.5431
0.7827 0.7827 0.2823
0.2389 0.2389 0.7383



# 3
SrCoBr, optimized geometry, DFT PBE-GGA; crystal system = monoclinic; Fermi-level density of states = 0.862 states/eV/atom
1.0
9.2101 -2.0983 0.0000
9.2101 2.0983 0.0000
-0.0034 0.0000 4.0885
Sr Co Br
2 2 2
direct
0.1017 0.1017 0.2506
0.8983 0.8983 0.7494
0.4730 0.4730 0.2499
0.5270 0.5270 0.7501
0.3252 0.3252 0.2492
0.6748 0.6748 0.7508



Total DFT energy (no corrections) list, top to bottom, in eV/atom: -3.316 -5.929 -4.213